No. 1
K3U2VTe6 PBE optimized geometry; crystal system = monoclinic; E_form (uncorrected) = -74.3 kJ/mol of atoms; Fermi-level density of states = 14.98 states/eV per cell
1.0
3.795 -6.579 0.000
3.795 6.579 0.000
-2.545 0.000 8.289
K U V Te
3 2 1 6
direct
0.000 0.000 0.000
0.327 0.673 0.000
0.673 0.327 0.000
0.166 0.834 0.500
0.834 0.166 0.500
0.500 0.500 0.500
0.119 0.433 0.297
0.255 0.255 0.705
0.433 0.119 0.297
0.567 0.881 0.703
0.745 0.745 0.295
0.881 0.567 0.703

No. 2
Pm2Mg6Cu3 PBE optimized geometry; formation enthalpy at 0 K = -29 meV per atom; crystal system = hexagonal; Fermi-level density of states = 12.53 states/eV per cell
1.0
8.225 0.000 0.000
-4.112 7.123 0.000
0.000 0.000 4.208
Pm Mg Cu
2 6 3
direct
0.333 0.667 0.000
0.667 0.333 0.000
0.000 0.299 0.500
0.000 0.790 0.000
0.210 0.210 0.000
0.299 0.000 0.500
0.701 0.701 0.500
0.790 0.000 0.000
0.000 0.611 0.500
0.389 0.389 0.500
0.611 0.000 0.500

| no. | magnetization (μB/atom) | E_tot (eV/atom) |
| --- | --- | --- |
| 1 | 0.67 | -5.257 |
| 2 | 0.00 | -2.880 |